# 1
# PBE-GGA Pm3Nd8Sc2, optimized geometry
# Excess energy over the best structure of this formula in the dataset = 0.065 eV/atom
data_Pm3Nd8Sc2
_symmetry_space_group_name_H-M 'C 1 2/m 1'
_symmetry_Int_Tables_number 12
_cell_length_a 19.978
_cell_length_b 7.810
_cell_length_c 5.765
_cell_angle_alpha 90.00
_cell_angle_beta 90.03
_cell_angle_gamma 90.00
loop_
_symmetry_equiv_pos_as_xyz
'x,y,z'
'-x,-y,-z'
'-x,y,-z'
'x,-y,z'
'x+1/2,y+1/2,z'
'-x+1/2,-y+1/2,-z'
'-x+1/2,y+1/2,-z'
'x+1/2,-y+1/2,z'
loop_
_atom_site_label
_atom_site_type_symbol
_atom_site_fract_x
_atom_site_fract_y
_atom_site_fract_z
_atom_site_occupancy
Pm1 Pm 0.000 0.000 0.000 1
Pm2 Pm 0.000 0.289 0.500 1
Nd1 Nd 0.112 0.293 0.000 1
Nd2 Nd 0.135 0.000 0.500 1
Nd3 Nd 0.180 0.500 0.501 1
Sc1 Sc 0.240 0.000 0.999 1

# 2
Here is an optimized crystal structure of Pm2Nd3Sc2 from the Alexandria database. Energies are from PBE-GGA.

Cell and atoms, written as CIF:
```
data_Pm2Nd3Sc2
_symmetry_space_group_name_H-M 'C 1 2/m 1'
_symmetry_Int_Tables_number 12
_cell_length_a 11.155
_cell_length_b 5.036
_cell_length_c 7.988
_cell_angle_alpha 90.00
_cell_angle_beta 98.48
_cell_angle_gamma 90.00
loop_
_symmetry_equiv_pos_as_xyz
'x,y,z'
'-x,-y,-z'
'-x,y,-z'
'x,-y,z'
'x+1/2,y+1/2,z'
'-x+1/2,-y+1/2,-z'
'-x+1/2,y+1/2,-z'
'x+1/2,-y+1/2,z'
loop_
_atom_site_label
_atom_site_type_symbol
_atom_site_fract_x
_atom_site_fract_y
_atom_site_fract_z
_atom_site_occupancy
Pm1 Pm 0.072 0.000 0.224 1
Nd1 Nd 0.000 0.500 0.500 1
Nd2 Nd 0.145 0.500 0.931 1
Sc1 Sc 0.217 0.000 0.637 1
```

# 3
# PBE-GGA Pm2Nd8Sc, optimized geometry
# Excess energy over the best structure of this formula in the dataset = 0.000 eV/atom
data_Pm2Nd8Sc
_symmetry_space_group_name_H-M 'I m m m'
_symmetry_Int_Tables_number 71
_symmetry_space_group_name_Hall '-I 2 2'
_cell_length_a 5.758
_cell_length_b 8.091
_cell_length_c 16.326
_cell_angle_alpha 90.00
_cell_angle_beta 90.00
_cell_angle_gamma 90.00
loop_
_atom_site_label
_atom_site_type_symbol
_atom_site_fract_x
_atom_site_fract_y
_atom_site_fract_z
_atom_site_occupancy
Pm1 Pm 0.000 0.000 0.201 1
Nd1 Nd 0.000 0.217 0.000 1
Nd2 Nd 0.000 0.291 0.370 1
Nd3 Nd 0.000 0.500 0.164 1
Sc1 Sc 0.000 0.000 0.500 1

# 4
Here is an optimized crystal structure of Pm8NdSc3 from the Alexandria database. Energies are from PBE-GGA.

Cell and atoms, written as CIF:
```
data_Pm8NdSc3
_symmetry_space_group_name_H-M 'P 1'
_symmetry_Int_Tables_number 1
_cell_length_a 6.162
_cell_length_b 7.938
_cell_length_c 8.703
_cell_angle_alpha 111.30
_cell_angle_beta 90.14
_cell_angle_gamma 105.02
loop_
_symmetry_equiv_pos_as_xyz
'x,y,z'
loop_
_atom_site_label
_atom_site_type_symbol
_atom_site_fract_x
_atom_site_fract_y
_atom_site_fract_z
_atom_site_occupancy
Pm1 Pm 0.000 0.000 0.000 1
Pm2 Pm 0.076 0.743 0.577 1
Pm3 Pm 0.328 0.983 0.329 1
Pm4 Pm 0.416 0.736 0.918 1
Pm5 Pm 0.492 0.490 0.495 1
Pm6 Pm 0.578 0.253 0.083 1
Pm7 Pm 0.835 0.492 0.836 1
Pm8 Pm 0.918 0.240 0.413 1
Nd1 Nd 0.665 0.994 0.663 1
Sc1 Sc 0.165 0.495 0.163 1
Sc2 Sc 0.248 0.247 0.753 1
Sc3 Sc 0.745 0.737 0.245 1
```

# 5
Here is an optimized crystal structure of Pm7NdSc4 from the Alexandria database. Energies are from PBE-GGA.

Cell and atoms, written as CIF:
```
data_Pm7NdSc4
_symmetry_space_group_name_H-M 'P -1'
_symmetry_Int_Tables_number 2
_cell_length_a 6.154
_cell_length_b 7.112
_cell_length_c 8.727
_cell_angle_alpha 89.93
_cell_angle_beta 76.38
_cell_angle_gamma 90.00
loop_
_symmetry_equiv_pos_as_xyz
'x,y,z'
'-x,-y,-z'
loop_
_atom_site_label
_atom_site_type_symbol
_atom_site_fract_x
_atom_site_fract_y
_atom_site_fract_z
_atom_site_occupancy
Pm1 Pm 0.000 0.000 0.000 1
Pm2 Pm 0.225 0.501 0.337 1
Pm3 Pm 0.288 0.243 0.659 1
Pm4 Pm 0.499 0.758 0.991 1
Nd1 Nd 0.000 0.500 0.000 1
Sc1 Sc 0.213 0.999 0.341 1
Sc2 Sc 0.272 0.760 0.662 1
```

# 6
# PBE-GGA PmNd4Sc2, optimized geometry
# Excess energy over the best structure of this formula in the dataset = 0.042 eV/atom
data_PmNd4Sc2
_symmetry_space_group_name_H-M 'C 1 2/c 1'
_symmetry_Int_Tables_number 15
_cell_length_a 3.547
_cell_length_b 15.588
_cell_length_c 16.694
_cell_angle_alpha 90.00
_cell_angle_beta 93.23
_cell_angle_gamma 90.00
loop_
_symmetry_equiv_pos_as_xyz
'x,y,z'
'-x,-y,-z'
'-x,y,-z+1/2'
'x,-y,z+1/2'
'x+1/2,y+1/2,z'
'-x+1/2,-y+1/2,-z'
'-x+1/2,y+1/2,-z+1/2'
'x+1/2,-y+1/2,z+1/2'
loop_
_atom_site_label
_atom_site_type_symbol
_atom_site_fract_x
_atom_site_fract_y
_atom_site_fract_z
_atom_site_occupancy
Pm1 Pm 0.000 0.193 0.250 1
Nd1 Nd 0.065 0.322 0.075 1
Nd2 Nd 0.131 0.053 0.420 1
Sc1 Sc 0.000 0.132 0.750 1
Sc2 Sc 0.000 0.481 0.750 1

Number 1: energy of formation 221 meV/atom, volume 899.6 Å³ per cell, E -124.4 eV per cell. Number 2: energy of formation 52 meV/atom, volume 443.8 Å³ per cell, E -72.2 eV per cell. Number 3: energy of formation 112 meV/atom, volume 760.6 Å³ per cell, E -105.5 eV per cell. Number 4: energy of formation 47 meV/atom, volume 380.9 Å³ per cell, E -61.2 eV per cell. Number 5: energy of formation 35 meV/atom, volume 371.3 Å³ per cell, E -62.9 eV per cell. Number 6: energy of formation 220 meV/atom, volume 921.4 Å³ per cell, E -139.8 eV per cell.